Compound: Pm6Ni2Sn
Source: Alexandria
Functional: PBE-GGA
Structure: optimized geometry Values from VASP.

Summary:
Energy of formation from the pure elements ... -290 kJ/mol of formula units
Total magnetic moment ... 0.00 μB per formula unit
Space-group type ... Immm, No. 71

The structure in Quantum ESPRESSO input format:
```
&SYSTEM
  ibrav = 0, nat = 18, ntyp = 3
/
ATOMIC_SPECIES
Pm 145.00 Pm.upf
Ni 58.69 Ni.upf
Sn 118.71 Sn.upf
ATOMIC_POSITIONS crystal
Pm 0.524 0.707 0.817
Pm 0.476 0.293 0.183
Pm 0.109 0.293 0.817
Pm 0.891 0.707 0.183
Pm 0.797 0.771 0.567
Pm 0.203 0.229 0.433
Pm 0.203 0.771 0.974
Pm 0.797 0.229 0.026
Pm 0.691 0.368 0.677
Pm 0.309 0.632 0.323
Pm 0.309 0.985 0.677
Pm 0.691 0.015 0.323
Ni 0.500 0.381 0.881
Ni 0.500 0.619 0.119
Ni 0.639 0.000 0.639
Ni 0.361 0.000 0.361
Sn 0.000 0.500 0.500
Sn 0.000 0.000 0.000
CELL_PARAMETERS angstrom
8.665 -0.142 0.012
-3.414 7.965 -0.012
-2.812 -3.787 7.270
```

Compound: Pm6ZnIr3
Source: Alexandria
Functional: PBE-GGA
Structure: optimized geometry Values from VASP.

Summary:
Energy of formation from the pure elements ... -478 kJ/mol of formula units
Total magnetic moment ... 0.00 μB per formula unit
Space-group type ... P2_1/m, No. 11

The structure in Quantum ESPRESSO input format:
```
&SYSTEM
  ibrav = 0, nat = 20, ntyp = 3
/
ATOMIC_SPECIES
Pm 145.00 Pm.upf
Zn 65.41 Zn.upf
Ir 192.22 Ir.upf
ATOMIC_POSITIONS crystal
Pm 0.750 0.473 0.608
Pm 0.250 0.527 0.392
Pm 0.750 0.875 0.098
Pm 0.250 0.125 0.902
Pm 0.750 0.408 0.072
Pm 0.250 0.592 0.928
Pm 0.750 0.733 0.304
Pm 0.250 0.267 0.696
Pm 0.750 0.121 0.438
Pm 0.250 0.879 0.562
Pm 0.750 0.828 0.796
Pm 0.250 0.172 0.204
Zn 0.750 0.072 0.704
Zn 0.250 0.928 0.296
Ir 0.750 0.413 0.827
Ir 0.250 0.587 0.173
Ir 0.750 0.694 0.524
Ir 0.250 0.306 0.476
Ir 0.750 0.113 0.044
Ir 0.250 0.887 0.956
CELL_PARAMETERS angstrom
4.371 0.000 0.000
0.000 10.152 -3.866
0.000 0.038 12.359
```

Compound: Nd4Dy2ErTm2
Source: Alexandria
Functional: PBE-GGA
Structure: optimized geometry Values from VASP.

Summary:
Energy of formation from the pure elements ... 21 kJ/mol of formula units
Total magnetic moment ... 0.00 μB per formula unit
Space-group type ... C2/m, No. 12

The structure in Quantum ESPRESSO input format:
```
&SYSTEM
  ibrav = 0, nat = 9, ntyp = 4
/
ATOMIC_SPECIES
Nd 144.24 Nd.upf
Dy 162.50 Dy.upf
Er 167.26 Er.upf
Tm 168.93 Tm.upf
ATOMIC_POSITIONS crystal
Nd 0.777 0.555 0.669
Nd 0.223 0.445 0.331
Nd 0.554 0.108 0.330
Nd 0.446 0.892 0.670
Dy 0.888 0.777 0.330
Dy 0.112 0.223 0.670
Er 0.000 0.000 0.000
Tm 0.333 0.666 0.000
Tm 0.667 0.334 0.000
CELL_PARAMETERS angstrom
5.074 0.000 0.000
-2.537 7.627 0.025
0.000 -2.562 7.591
```

Compound: Rb2Nb2Pb
Source: Alexandria
Functional: PBE-GGA
Structure: optimized geometry Values from VASP.

Summary:
Energy of formation from the pure elements ... 579 kJ/mol of formula units
Total magnetic moment ... 0.00 μB per formula unit
Space-group type ... P4/mbm, No. 127
Energy above the lowest structure with this stoichiometry ... 1.83 kJ per mole of atoms

The structure in Quantum ESPRESSO input format:
```
&SYSTEM
  ibrav = 0, nat = 10, ntyp = 3
/
ATOMIC_SPECIES
Pb 207.20 Pb.upf
Nb 92.91 Nb.upf
Rb 85.47 Rb.upf
ATOMIC_POSITIONS crystal
Pb 0.000 0.000 0.000
Pb 0.500 0.500 0.000
Nb 0.430 0.930 0.000
Nb 0.930 0.570 0.000
Nb 0.570 0.070 0.000
Nb 0.070 0.430 0.000
Rb 0.215 0.715 0.500
Rb 0.715 0.785 0.500
Rb 0.785 0.285 0.500
Rb 0.285 0.215 0.500
CELL_PARAMETERS angstrom
11.005 0.000 0.000
0.000 11.005 0.000
0.000 0.000 3.210
```

Compound: NpSnSe4
Source: Alexandria
Functional: PBE-GGA
Structure: optimized geometry Values from VASP.

Summary:
Total magnetic moment ... 3.00 μB per formula unit
Space-group type ... Cmcm, No. 63
Energy relative to the elements, uncorrected ... -0.479 eV per atom

The structure in Quantum ESPRESSO input format:
```
&SYSTEM
  ibrav = 0, nat = 12, ntyp = 3
/
ATOMIC_SPECIES
Np 237.00 Np.upf
Sn 118.71 Sn.upf
Se 78.96 Se.upf
ATOMIC_POSITIONS crystal
Np 0.475 0.475 0.750
Np 0.525 0.525 0.250
Sn 0.854 0.854 0.750
Sn 0.146 0.146 0.250
Se 0.780 0.197 0.250
Se 0.220 0.803 0.750
Se 0.197 0.780 0.250
Se 0.803 0.220 0.750
Se 0.678 0.678 0.523
Se 0.322 0.322 0.023
Se 0.678 0.678 0.977
Se 0.322 0.322 0.477
CELL_PARAMETERS angstrom
6.949 0.642 0.000
0.087 6.979 0.000
0.000 0.000 8.468
```

Compound: Ac3In3Hg2
Source: Alexandria
Functional: PBE-GGA
Structure: optimized geometry Values from VASP.

Summary:
Energy of formation from the pure elements ... -319 kJ/mol of formula units
Total magnetic moment ... 0.00 μB per formula unit
Space-group type ... C2/m, No. 12
Energy above the lowest structure with this stoichiometry ... 5.71 kJ per mole of atoms

The structure in Quantum ESPRESSO input format:
```
&SYSTEM
  ibrav = 0, nat = 8, ntyp = 3
/
ATOMIC_SPECIES
Ac 227.00 Ac.upf
In 114.82 In.upf
Hg 200.59 Hg.upf
ATOMIC_POSITIONS crystal
Ac 0.856 0.351 0.711
Ac 0.144 0.649 0.289
Ac 0.000 0.000 0.000
In 0.366 0.862 0.731
In 0.500 0.500 0.000
In 0.634 0.138 0.269
Hg 0.761 0.756 0.521
Hg 0.239 0.244 0.479
CELL_PARAMETERS angstrom
-0.038 -2.332 4.243
1.586 -4.604 -2.515
8.332 5.906 0.558
```

Compound: CaSmMgHg
Source: Alexandria
Functional: PBE-GGA
Structure: optimized geometry Values from VASP.

Summary:
Energy of formation from the pure elements ... -116 kJ/mol of formula units
Total magnetic moment ... 0.25 μB per formula unit
Space-group type ... P4mm, No. 99
Energy above the lowest structure with this stoichiometry ... 0.00 kJ per mole of atoms

The structure in Quantum ESPRESSO input format:
```
&SYSTEM
  ibrav = 0, nat = 4, ntyp = 4
/
ATOMIC_SPECIES
Ca 40.08 Ca.upf
Sm 150.36 Sm.upf
Mg 24.30 Mg.upf
Hg 200.59 Hg.upf
ATOMIC_POSITIONS crystal
Ca 0.000 0.000 0.366
Sm 0.000 0.000 0.846
Mg 0.500 0.500 0.100
Hg 0.500 0.500 0.615
CELL_PARAMETERS angstrom
-2.625 -0.133 2.831
1.005 -3.652 0.760
5.224 2.471 4.962
```

Compound: MgTi2O4
Source: Alexandria
Functional: PBE-GGA
Structure: optimized geometry Values from VASP.

Summary:
Total magnetic moment ... 0.00 μB per formula unit
Space-group type ... Pnma, No. 62
Energy above the lowest structure with this stoichiometry ... 8.84 kJ per mole of atoms
Energy relative to the elements, uncorrected ... -2.731 eV per atom

The structure in Quantum ESPRESSO input format:
```
&SYSTEM
  ibrav = 0, nat = 28, ntyp = 3
/
ATOMIC_SPECIES
Mg 24.30 Mg.upf
Ti 47.87 Ti.upf
O 16.00 O.upf
ATOMIC_POSITIONS crystal
Mg 0.250 0.238 0.659
Mg 0.750 0.762 0.341
Mg 0.250 0.738 0.841
Mg 0.750 0.262 0.159
Ti 0.250 0.433 0.881
Ti 0.750 0.567 0.119
Ti 0.250 0.933 0.619
Ti 0.750 0.067 0.381
Ti 0.250 0.420 0.409
Ti 0.750 0.580 0.591
Ti 0.250 0.920 0.091
Ti 0.750 0.080 0.909
O 0.250 0.210 0.316
O 0.750 0.790 0.684
O 0.250 0.710 0.184
O 0.750 0.290 0.816
O 0.250 0.132 0.045
O 0.750 0.868 0.955
O 0.250 0.632 0.455
O 0.750 0.368 0.545
O 0.250 0.039 0.778
O 0.750 0.961 0.222
O 0.250 0.539 0.722
O 0.750 0.461 0.278
O 0.250 0.407 0.069
O 0.750 0.593 0.931
O 0.250 0.907 0.431
O 0.750 0.093 0.569
CELL_PARAMETERS angstrom
-0.131 -2.252 -1.764
9.185 0.938 -1.883
2.277 -6.351 7.942
```

Compound: K2Hg3
Source: Alexandria
Functional: PBE-GGA
Structure: optimized geometry Values from VASP.

Summary:
Energy of formation from the pure elements ... -127 kJ/mol of formula units
Total magnetic moment ... 0.00 μB per formula unit
Space-group type ... Immm, No. 71
Energy above the lowest structure with this stoichiometry ... 0.00 kJ per mole of atoms

The structure in Quantum ESPRESSO input format:
```
&SYSTEM
  ibrav = 0, nat = 5, ntyp = 2
/
ATOMIC_SPECIES
K 39.10 K.upf
Hg 200.59 Hg.upf
ATOMIC_POSITIONS crystal
K 0.801 0.699 0.699
K 0.199 0.301 0.301
Hg 0.000 0.000 0.000
Hg 0.500 0.265 0.735
Hg 0.500 0.735 0.265
CELL_PARAMETERS angstrom
-3.613 1.993 3.101
-0.641 -3.387 5.726
2.543 2.498 5.654
```

Compound: Sr2ReRh
Source: Alexandria
Functional: PBE-GGA
Structure: optimized geometry Values from VASP.

Summary:
Energy of formation from the pure elements ... 304 kJ/mol of formula units
Total magnetic moment ... 0.47 μB per formula unit
Space-group type ... Cmmm, No. 65
Energy above the lowest structure with this stoichiometry ... 59.35 kJ per mole of atoms

The structure in Quantum ESPRESSO input format:
```
&SYSTEM
  ibrav = 0, nat = 4, ntyp = 3
/
ATOMIC_SPECIES
Re 186.21 Re.upf
Rh 102.91 Rh.upf
Sr 87.62 Sr.upf
ATOMIC_POSITIONS crystal
Re 0.500 0.500 0.250
Rh 0.500 0.500 0.750
Sr 0.000 0.000 0.979
Sr 0.000 0.000 0.521
CELL_PARAMETERS angstrom
-2.817 -0.787 1.098
1.074 -2.854 0.682
2.467 2.947 8.441
```

- Among the records above, which one has the highest total magnetic moment?
  NpSnSe4